Entry 1:
BPdS PBE relaxed; V = 13.68 Å³ per atom; magnetization = 0.00 μB/atom; excess energy over the best structure of this formula in the dataset = 97.8 meV/atom; symmetry = R3m; ΔE_f (raw) = -0.1125 eV per atom
1.0
1.4870 0.8585 5.3600
-1.4870 0.8585 5.3600
0.0000 -1.7170 5.3600
B Pd S
1 1 1
Cartesian
0.0000 0.0000 0.0000
0.0000 0.0000 14.0301
0.0000 0.0000 11.5759


Entry 2:
Ca2Co2Ru PBE relaxed; V = 19.81 Å³ per atom; magnetization = 0.87 μB/atom; excess energy over the best structure of this formula in the dataset = 936.2 meV/atom; symmetry = I4/mmm; E_form = 110.9 kJ/mol of atoms
1.0
-2.0489 2.0489 5.8977
2.0489 -2.0489 5.8977
2.0489 2.0489 -5.8977
Ca Co Ru
2 2 1
Cartesian
2.0489 0.0000 2.9489
0.0000 2.0489 2.9489
0.0000 0.0000 1.0086
0.0000 0.0000 10.7869
0.0000 0.0000 5.8977